# 1
Compound: Ce6TlIn2
Source: Alexandria via LeMat-Bulk
Functional: PBE-GGA
Structure: optimized geometry

abc: 9.433 15.571 3.116
angles: 90.00 90.00 90.00
Space group Cmmm (No. 65)
Unique sites:
Ce  0.173  0.000  0.000 (multiplicity 4)
Ce  0.177  0.331  0.000 (multiplicity 8)
Tl  0.000  0.500  0.500 (multiplicity 2)
In  0.000  0.166  0.500 (multiplicity 4)

Total energy: -5.01 eV per atom
Total magnetic moment: 4.04 μB/f.u.

# 2
Compound: CaH2F6
Source: Alexandria via LeMat-Bulk
Functional: PBE-GGA
Structure: optimized geometry

abc: 8.019 9.805 6.810
angles: 90.00 107.96 90.00
Space group C2/c (No. 15)
Unique sites:
Ca  0.000  0.078  0.250 (multiplicity 4)
H  0.206  0.195  0.690 (multiplicity 8)
F  0.059  0.450  0.563 (multiplicity 8)
F  0.117  0.094  0.605 (multiplicity 8)
F  0.220  0.218  0.241 (multiplicity 8)

Polymorph energy (0 for the lowest one): 0.000 eV/atom
Total magnetic moment: 0.10 μB/f.u.

# 3
Compound: FeIrRu2
Source: Alexandria via LeMat-Bulk
Functional: PBE-GGA
Structure: optimized geometry

abc: 8.885 2.694 4.630
angles: 90.00 100.38 90.00
Space group Cm (No. 8)
Unique sites:
Fe  0.000  0.000  0.000 (multiplicity 2)
Ir  0.252  0.000  0.757 (multiplicity 2)
Ru  0.001  0.500  0.495 (multiplicity 2)
Ru  0.250  0.500  0.251 (multiplicity 2)

Polymorph energy (0 for the lowest one): 0.048 eV/atom
Total magnetic moment: 2.25 μB/f.u.

# 4
Compound: Ca4CdRu
Source: Alexandria via LeMat-Bulk
Functional: PBE-GGA
Structure: optimized geometry

abc: 9.116 13.695 6.138
angles: 90.00 109.76 90.00
Space group C2/c (No. 15)
Unique sites:
Ca  0.107  0.167  0.055 (multiplicity 8)
Ca  0.218  0.426  0.364 (multiplicity 8)
Cd  0.000  0.373  0.750 (multiplicity 4)
Ru  0.000  0.001  0.250 (multiplicity 4)

Polymorph energy (0 for the lowest one): 0.000 eV/atom
Total magnetic moment: 0.29 μB/f.u.